(1)
A plane-wave DFT calculation with GGA-PBE was carried out for crystalline NaAc2Cd6 at its relaxed geometry.

Results
Energy of formation (eV per atom): -0.243
D(E_F) (states/eV/atom): 0.60
Total DFT energy (no corrections) (eV/atom): -1.912

Cell lengths 8.9846, 8.9846, 3.6843 Å; angles 90.00, 90.00, 120.00 degrees
With the nearest neighbours (Å) after each atom.
Space group P6/mmm (No. 191)
Asymmetric unit:
1 Na 0.0000 0.0000 0.0000 (multiplicity 1)  12 Cd 3.46, 2 Na 3.68
2 Ac 0.3333 0.6667 0.0000 (multiplicity 2)  12 Cd 3.55, 2 Ac 3.68
3 Cd 0.0000 0.3255 0.5000 (multiplicity 6)  3 Cd 2.92-3.13

***

(2)
A plane-wave DFT calculation with GGA-PBE was carried out for crystalline Mg2Cu2Au5 at its relaxed geometry.

Results
Energy of formation (eV per atom): -0.178
D(E_F) (states/eV/atom): 0.35
Total DFT energy (no corrections) (eV/atom): -3.263

Cell lengths 14.9967, 7.2694, 5.9555 Å; angles 90.00, 90.00, 90.00 degrees
With the nearest neighbours (Å) after each atom.
Space group Ima2 (No. 46)
Asymmetric unit:
1 Mg 0.0000 0.0000 0.0000 (multiplicity 4)  6 Au 2.80-3.01, 2 Cu 2.88
2 Mg 0.2500 0.0634 0.0078 (multiplicity 4)  8 Au 2.72-2.96
3 Cu 0.0754 0.5333 0.9429 (multiplicity 8)  1 Cu 2.31, 3 Au 2.50-2.58
4 Au 0.1065 0.2289 0.7339 (multiplicity 8)  2 Cu 2.58-2.62, 1 Mg 2.80
5 Au 0.1523 0.6950 0.2715 (multiplicity 8)  2 Cu 2.50-2.56, 1 Mg 2.77
6 Au 0.2500 0.0435 0.4641 (multiplicity 4)  2 Cu 2.68, 2 Mg 2.72-2.87, 2 Au 2.92

***

(3)
A plane-wave DFT calculation with GGA-PBE was carried out for crystalline LaPW at its relaxed geometry.

Results
Energy of formation (eV per atom): -0.095
D(E_F) (states/eV/atom): 1.43
Total DFT energy (no corrections) (eV/atom): -7.858
ΔE to the lowest computed polymorph (meV/atom): 194.9

Cell lengths 3.6312, 3.6312, 5.8125 Å; angles 90.00, 90.00, 120.00 degrees
With the nearest neighbours (Å) after each atom.
Space group P3m1 (No. 156)
Asymmetric unit:
1 La 0.0000 0.0000 0.0000 (multiplicity 1)  3 P 2.88
2 P 0.6667 0.3333 0.3402 (multiplicity 1)  3 W 2.40
3 W 0.3333 0.6667 0.5416 (multiplicity 1)  3 P 2.40

***

The lowest energy of formation belongs to which entry?
NaAc2Cd6